[1]
YTlOs2 | meta-GGA SCAN | single point on PBEsol structure

Calculated values
Volume ... 74 Å³/cell
ΔH_f (0 K) ... 333 meV per atom
Relative energy among the computed polymorphs ... 0 meV per atom

a b c (Å): 5.499 5.499 4.989
angles (deg): 111.52 111.52 31.94
Atoms (fractional coordinates):
1 Y 0.000 0.000 0.000
2 Tl 0.789 0.789 0.371
3 Os 0.235 0.235 0.848
4 Os 0.539 0.539 0.513



[2]
YTlOs2 | meta-GGA SCAN | single point on PBEsol structure

Calculated values
Volume ... 73 Å³/cell
ΔH_f (0 K) ... 560 meV per atom
Relative energy among the computed polymorphs ... 227 meV per atom

a b c (Å): 3.416 3.416 6.285
angles (deg): 90.00 90.00 90.00
Atoms (fractional coordinates):
1 Y 0.000 0.000 0.000
2 Tl 0.000 0.000 0.500
3 Os 0.500 0.500 0.268
4 Os 0.500 0.500 0.732



[3]
YTlOs2 | meta-GGA SCAN | single point on PBEsol structure

Calculated values
Volume ... 73 Å³/cell
ΔH_f (0 K) ... 602 meV per atom
Relative energy among the computed polymorphs ... 270 meV per atom

a b c (Å): 5.061 5.061 5.061
angles (deg): 130.82 130.82 72.11
Atoms (fractional coordinates):
1 Y 0.000 0.000 0.000
2 Tl 0.500 0.500 0.000
3 Os 0.250 0.750 0.500
4 Os 0.750 0.250 0.500



[4]
TlZnOs3 | meta-GGA SCAN | single point on PBEsol structure

Calculated values
Volume ... 91 Å³/cell
ΔH_f (0 K) ... 2106 meV per atom

a b c (Å): 4.492 4.492 4.492
angles (deg): 90.00 90.00 90.00
Atoms (fractional coordinates):
1 Tl 0.000 0.000 0.000
2 Zn 0.500 0.500 0.500
3 Os 0.000 0.500 0.500
4 Os 0.500 0.000 0.500
5 Os 0.500 0.500 0.000



[5]
ZrTlOs2 | meta-GGA SCAN | single point on PBEsol structure

Calculated values
Volume ... 73 Å³/cell
ΔH_f (0 K) ... 177 meV per atom
Relative energy among the computed polymorphs ... 12 meV per atom

a b c (Å): 2.860 3.781 6.732
angles (deg): 90.00 90.00 90.00
Atoms (fractional coordinates):
1 Zr 0.000 0.000 0.000
2 Tl 0.500 0.500 0.690
3 Os 0.000 0.000 0.407
4 Os 0.500 0.500 0.255



[6]
ZrTlOs2 | meta-GGA SCAN | single point on PBEsol structure

Calculated values
Volume ... 70 Å³/cell
ΔH_f (0 K) ... 165 meV per atom
Relative energy among the computed polymorphs ... 0 meV per atom

a b c (Å): 2.895 2.895 8.349
angles (deg): 90.00 90.00 90.00
Atoms (fractional coordinates):
1 Zr 0.000 0.000 0.000
2 Tl 0.500 0.500 0.707
3 Os 0.000 0.000 0.450
4 Os 0.500 0.500 0.259



[7]
ZrTlOs2 | meta-GGA SCAN | single point on PBEsol structure

Calculated values
Volume ... 69 Å³/cell
ΔH_f (0 K) ... 423 meV per atom
Relative energy among the computed polymorphs ... 258 meV per atom

a b c (Å): 5.333 5.333 5.333
angles (deg): 145.01 126.06 65.93
Atoms (fractional coordinates):
1 Zr 0.000 0.000 0.000
2 Tl 0.500 0.500 0.000
3 Os 0.241 0.741 0.500
4 Os 0.759 0.259 0.500



[8]
V3Os | meta-GGA SCAN | single point on PBEsol structure

Calculated values
Volume ... 52 Å³/cell
ΔH_f (0 K) ... -482 meV per atom

a b c (Å): 4.192 4.192 4.192
angles (deg): 60.00 60.00 60.00
Atoms (fractional coordinates):
1 V 0.000 0.000 0.000
2 V 0.250 0.250 0.250
3 V 0.750 0.750 0.750
4 Os 0.500 0.500 0.500



[9]
VOs | meta-GGA SCAN | single point on PBEsol structure

Calculated values
Volume ... 27 Å³/cell
ΔH_f (0 K) ... -419 meV per atom

a b c (Å): 2.989 2.989 2.989
angles (deg): 90.00 90.00 90.00
Atoms (fractional coordinates):
1 V 0.000 0.000 0.000
2 Os 0.500 0.500 0.500



[10]
V2OsW | meta-GGA SCAN | single point on PBEsol structure

Calculated values
Volume ... 55 Å³/cell
ΔH_f (0 K) ... -375 meV per atom

a b c (Å): 4.264 4.264 4.264
angles (deg): 60.00 60.00 60.00
Atoms (fractional coordinates):
1 V 0.250 0.250 0.250
2 V 0.750 0.750 0.750
3 Os 0.000 0.000 0.000
4 W 0.500 0.500 0.500



[11]
Os3W | meta-GGA SCAN | single point on PBEsol structure

Calculated values
Volume ... 115 Å³/cell
ΔH_f (0 K) ... 17 meV per atom

a b c (Å): 8.198 8.198 8.198
angles (deg): 152.80 152.80 38.85
Atoms (fractional coordinates):
1 Os 0.000 0.500 0.500
2 Os 0.125 0.125 0.000
3 Os 0.250 0.750 0.500
4 Os 0.500 0.000 0.500
5 Os 0.750 0.250 0.500
6 Os 0.875 0.875 0.000
7 W 0.376 0.376 0.000
8 W 0.624 0.624 0.000



[12]
Os3W | meta-GGA SCAN | single point on PBEsol structure

Calculated values
Volume ... 115 Å³/cell
ΔH_f (0 K) ... -72 meV per atom

a b c (Å): 5.499 5.499 4.376
angles (deg): 90.00 90.00 120.00
Atoms (fractional coordinates):
1 Os 0.166 0.332 0.250
2 Os 0.166 0.834 0.250
3 Os 0.332 0.166 0.750
4 Os 0.668 0.834 0.250
5 Os 0.834 0.166 0.750
6 Os 0.834 0.668 0.750
7 W 0.333 0.667 0.750
8 W 0.667 0.333 0.250



[13]
Os3W | meta-GGA SCAN | single point on PBEsol structure

Calculated values
Volume ... 115 Å³/cell
ΔH_f (0 K) ... -3 meV per atom

a b c (Å): 5.501 5.501 4.388
angles (deg): 90.00 90.00 120.00
Atoms (fractional coordinates):
1 Os 0.081 0.919 0.750
2 Os 0.082 0.411 0.750
3 Os 0.411 0.082 0.250
4 Os 0.589 0.918 0.750
5 Os 0.918 0.589 0.250
6 Os 0.919 0.081 0.250
7 W 0.413 0.587 0.250
8 W 0.587 0.413 0.750



[14]
Os4W11 | meta-GGA SCAN | single point on PBEsol structure

Calculated values
Volume ... 461 Å³/cell
ΔH_f (0 K) ... 21 meV per atom

a b c (Å): 9.631 9.631 4.975
angles (deg): 90.00 90.00 90.00
Atoms (fractional coordinates):
1 Os 0.067 0.263 0.000
2 Os 0.237 0.567 0.500
3 Os 0.263 0.067 0.000
4 Os 0.433 0.763 0.500
5 Os 0.567 0.237 0.500
6 Os 0.737 0.933 0.000
7 Os 0.763 0.433 0.500
8 Os 0.933 0.737 0.000
9 W 0.000 0.000 0.000
10 W 0.035 0.369 0.500
11 W 0.102 0.102 0.500
12 W 0.131 0.535 0.000
13 W 0.183 0.817 0.250
14 W 0.183 0.817 0.750
15 W 0.317 0.317 0.250
16 W 0.317 0.317 0.750
17 W 0.369 0.035 0.500
18 W 0.398 0.602 0.000
19 W 0.465 0.869 0.000
20 W 0.500 0.500 0.500
21 W 0.535 0.131 0.000
22 W 0.602 0.398 0.000
23 W 0.631 0.965 0.500
24 W 0.683 0.683 0.250
25 W 0.683 0.683 0.750
26 W 0.817 0.183 0.250
27 W 0.817 0.183 0.750
28 W 0.869 0.465 0.000
29 W 0.898 0.898 0.500
30 W 0.965 0.631 0.500



[15]
Os3W | meta-GGA SCAN | single point on PBEsol structure

Calculated values
Volume ... 58 Å³/cell
ΔH_f (0 K) ... 101 meV per atom

a b c (Å): 4.724 4.724 4.738
angles (deg): 99.63 99.63 33.72
Atoms (fractional coordinates):
1 Os 0.000 0.000 0.000
2 Os 0.252 0.252 0.760
3 Os 0.748 0.748 0.240
4 W 0.500 0.500 0.500



[16]
OsW | meta-GGA SCAN | single point on PBEsol structure

Calculated values
Volume ... 59 Å³/cell
ΔH_f (0 K) ... 66 meV per atom

a b c (Å): 5.263 5.263 4.792
angles (deg): 116.98 116.98 30.39
Atoms (fractional coordinates):
1 Os 0.130 0.130 0.464
2 Os 0.870 0.870 0.536
3 W 0.381 0.381 0.047
4 W 0.619 0.619 0.953



[17]
OsW3 | meta-GGA SCAN | single point on PBEsol structure

Calculated values
Volume ... 61 Å³/cell
ΔH_f (0 K) ... 143 meV per atom

a b c (Å): 5.165 5.165 5.165
angles (deg): 116.96 116.96 116.96
Atoms (fractional coordinates):
1 Os 0.000 0.000 0.000
2 W 0.000 0.500 0.500
3 W 0.500 0.000 0.500
4 W 0.500 0.500 0.000



[18]
OsW8 | meta-GGA SCAN | single point on PBEsol structure

Calculated values
Volume ... 140 Å³/cell
ΔH_f (0 K) ... 76 meV per atom

a b c (Å): 6.848 6.848 6.848
angles (deg): 93.03 93.03 153.41
Atoms (fractional coordinates):
1 Os 0.000 0.000 0.000
2 W 0.000 0.332 0.332
3 W 0.000 0.668 0.668
4 W 0.332 0.000 0.332
5 W 0.332 0.332 0.665
6 W 0.332 0.668 0.000
7 W 0.668 0.000 0.668
8 W 0.668 0.332 0.000
9 W 0.668 0.668 0.335



[19]
OsW | meta-GGA SCAN | single point on PBEsol structure

Calculated values
Volume ... 60 Å³/cell
ΔH_f (0 K) ... 263 meV per atom

a b c (Å): 9.214 9.214 9.214
angles (deg): 17.22 17.22 17.22
Atoms (fractional coordinates):
1 Os 0.125 0.125 0.125
2 Os 0.875 0.875 0.875
3 W 0.378 0.378 0.378
4 W 0.622 0.622 0.622



[20]
Os3W | meta-GGA SCAN | single point on PBEsol structure

Calculated values
Volume ... 345 Å³/cell
ΔH_f (0 K) ... 6 meV per atom

a b c (Å): 5.468 13.276 4.759
angles (deg): 90.00 90.00 90.00
Atoms (fractional coordinates):
1 Os 0.001 0.250 0.004
2 Os 0.002 0.084 0.335
3 Os 0.002 0.416 0.335
4 Os 0.250 0.084 0.838
5 Os 0.250 0.416 0.838
6 Os 0.250 0.750 0.501
7 Os 0.498 0.084 0.335
8 Os 0.498 0.416 0.335
9 Os 0.499 0.250 0.004
10 Os 0.501 0.750 0.996
11 Os 0.502 0.584 0.665
12 Os 0.502 0.916 0.665
13 Os 0.750 0.250 0.499
14 Os 0.750 0.584 0.162
15 Os 0.750 0.916 0.162
16 Os 0.998 0.584 0.665
17 Os 0.998 0.916 0.665
18 Os 0.999 0.750 0.996
19 W 0.250 0.250 0.508
20 W 0.250 0.587 0.162
21 W 0.250 0.913 0.162
22 W 0.750 0.087 0.838
23 W 0.750 0.413 0.838
24 W 0.750 0.750 0.492